Record 1
Material: CaNb3Pt
Method: DFT, PBE-GGA
State: optimized geometry

a b c (Å): 4.6429 4.6429 4.6429
angles (deg): 90.00 90.00 90.00
With the nearest neighbours (Å) after each atom.
Atoms (fractional coordinates):
Ca  0.0000  0.0000  0.0000  6 Nb 2.32
Nb  0.0000  0.0000  0.5000  2 Ca 2.32
Nb  0.0000  0.5000  0.0000  2 Ca 2.32
Nb  0.5000  0.0000  0.0000  2 Ca 2.32
Pt  0.5000  0.5000  0.5000  12 Nb 3.28

Summary:
D(E_F) = 10.6 states/eV per cell
energy relative to the elements = 2.154 eV/atom
E_tot = -27.48 eV for the cell shown
E above lowest polymorph = 1332 meV/atom



Record 2
Material: TcSbAu3
Method: DFT, PBE-GGA
State: optimized geometry

a b c (Å): 5.0266 5.0266 5.0266
angles (deg): 90.00 90.00 90.00
With the nearest neighbours (Å) after each atom.
Atoms (fractional coordinates):
Tc  0.0000  0.0000  0.0000  6 Au 2.51
Sb  0.5000  0.5000  0.5000  12 Au 3.55
Au  0.0000  0.0000  0.5000  2 Tc 2.51
Au  0.0000  0.5000  0.0000  2 Tc 2.51
Au  0.5000  0.0000  0.0000  2 Tc 2.51

Summary:
D(E_F) = 4.3 states/eV per cell
formation energy without anion corrections = 5.569 eV/f.u.
E_tot = -18.75 eV for the cell shown
E above lowest polymorph = 0 meV/atom



Record 3
Material: CaZn3PtAu
Method: DFT, PBE-GGA
State: optimized geometry

a b c (Å): 6.9562 6.9562 5.4958
angles (deg): 90.00 90.00 106.57
With the nearest neighbours (Å) after each atom.
Atoms (fractional coordinates):
Ca  0.1997  0.8003  0.7500  1 Pt 2.83, 2 Au 3.01, 2 Zn 3.07
Ca  0.8003  0.1997  0.2500  1 Pt 2.83, 2 Au 3.01, 2 Zn 3.07
Zn  0.2465  0.2465  0.0000  2 Pt 2.57, 2 Au 2.66, 2 Zn 2.75
Zn  0.2465  0.2465  0.5000  2 Pt 2.57, 2 Au 2.66, 2 Zn 2.75
Zn  0.3220  0.6780  0.2500  1 Pt 2.51, 1 Au 2.59
Zn  0.6780  0.3220  0.7500  1 Pt 2.51, 1 Au 2.59
Zn  0.7535  0.7535  0.0000  2 Pt 2.57, 2 Au 2.66, 2 Zn 2.75
Zn  0.7535  0.7535  0.5000  2 Pt 2.57, 2 Au 2.66, 2 Zn 2.75
Pt  0.4530  0.5470  0.7500  5 Zn 2.51-2.57
Pt  0.5470  0.4530  0.2500  5 Zn 2.51-2.57
Au  0.0895  0.9105  0.2500  5 Zn 2.59-2.66
Au  0.9105  0.0895  0.7500  5 Zn 2.59-2.66

Summary:
D(E_F) = 5.1 states/eV per cell
energy relative to the elements = -0.370 eV/atom
E_tot = -34.72 eV for the cell shown